No. 1
First-principles (PBE-GGA) data for a relaxed structure of CoP2S2, as listed in Alexandria via LeMat-Bulk.

The structure in POSCAR format:
```
CoP2S2
1.0
-0.1170 3.3783 -2.8556
-3.2286 -2.0179 -2.2550
-2.9060 1.9450 2.4201
P S Co
2 2 1
direct
0.5000 0.5000 0.5000 P
0.0000 0.0000 0.5000 P
0.0000 0.5000 0.0000 S
0.5000 0.0000 0.0000 S
0.0000 0.0000 0.0000 Co
```

Computed properties:
Electronic total energy ... -4.50 eV/atom
Energy relative to the lowest polymorph listed for this composition ... 0.000 eV per formula unit
Uncorrected formation energy ... 739 meV per atom
Symmetry ... P4/mmm (123)


No. 2
First-principles (PBE-GGA) data for a relaxed structure of CoPS, as listed in Alexandria via LeMat-Bulk.

The structure in POSCAR format:
```
CoPS
1.0
-3.2560 1.0205 -0.7100
0.6052 -3.2475 1.1112
-1.4097 3.8355 11.9772
Co P S
3 3 3
direct
0.0000 0.0000 0.6571 Co
0.3333 0.6667 0.3238 Co
0.6667 0.3333 0.9905 Co
0.0000 0.0000 0.2469 P
0.3333 0.6667 0.9136 P
0.6667 0.3333 0.5803 P
0.0000 0.0000 0.0785 S
0.3333 0.6667 0.7452 S
0.6667 0.3333 0.4118 S
```

Computed properties:
Electronic total energy ... -5.91 eV/atom
Uncorrected formation energy ... -364 meV per atom
Symmetry ... R3m (160)


No. 3
First-principles (PBE-GGA) data for a relaxed structure of CoPS2, as listed in Alexandria via LeMat-Bulk.

The structure in POSCAR format:
```
CoPS2
1.0
-0.2848 5.2149 0.2250
-0.2709 -0.2398 5.2150
4.8855 2.7574 3.0007
P S Co
2 4 2
direct
0.5000 0.5000 0.0000 P
0.2500 0.7500 0.5000 P
0.6670 0.1250 0.2500 S
0.0830 0.6250 0.2500 S
0.3750 0.3330 0.7500 S
0.8750 0.9170 0.7500 S
0.0000 0.0000 0.0000 Co
0.7500 0.2500 0.5000 Co
```

Computed properties:
Electronic total energy ... -5.04 eV/atom
Uncorrected formation energy ... 150 meV per atom
Symmetry ... I-42d (122)